# 1
Here is a geometry-optimized Pm4CoTeBr2 structure from Alexandria. Energies are from PBE.

Cell and atoms, written as POSCAR:
```
Pm4CoTeBr2
1.0
7.7888 0.0000 0.0000
0.0000 4.0722 0.0000
-2.4167 0.0000 7.5163
Pm Co Te Br
4 1 1 2
direct
0.1951 0.0000 0.1977
0.2145 0.5000 0.7850
0.7855 0.5000 0.2150
0.8049 0.0000 0.8023
0.0000 0.5000 0.0000
0.0000 0.0000 0.5000
0.5000 0.0000 0.0000
0.5000 0.5000 0.5000
```

N(E_F): 0.7013 states/eV per atom
symmetry: P2/m
theoretical density: 6.5 g cm⁻³
formation energy from raw total energies: -95.4 kJ/mol of atoms


# 2
Here is a geometry-optimized Mn2AuI structure from Alexandria. Energies are from PBE.

Cell and atoms, written as POSCAR:
```
Mn2AuI
1.0
0.0000 2.4988 7.1344
2.4928 0.0000 7.1344
2.4928 2.4988 0.0000
Mn Au I
2 1 1
direct
0.0000 0.0000 0.0000
0.3959 0.3959 0.6041
0.8135 0.8135 0.1865
0.6071 0.6071 0.3929
```

energy above the lowest structure with this stoichiometry: 0.91 kcal/mol of atoms
N(E_F): 0.4653 states/eV per atom
symmetry: Fmm2
theoretical density: 8.1 g cm⁻³
formation energy from raw total energies: 29.0 kJ/mol of atoms


# 3
Here is a geometry-optimized AcLa2Er3 structure from Alexandria. Energies are from PBE.

Cell and atoms, written as POSCAR:
```
AcLa2Er3
1.0
7.1075 0.0000 0.0000
-3.5538 6.1553 0.0000
0.0000 0.0000 9.9214
Ac La Er
2 4 6
direct
0.3333 0.6667 0.4454
0.6667 0.3333 0.5546
0.0000 0.0000 0.0000
0.0000 0.0000 0.5000
0.3333 0.6667 0.0910
0.6667 0.3333 0.9090
0.1832 0.3664 0.7695
0.1832 0.8168 0.7695
0.3664 0.1832 0.2305
0.6336 0.8168 0.7695
0.8168 0.1832 0.2305
0.8168 0.6336 0.2305
```

N(E_F): 1.8259 states/eV per atom
symmetry: P-3m1
theoretical density: 7.7 g cm⁻³
calculated formation energy: 0.256 eV per atom


# 4
Here is a geometry-optimized LiGaCu2 structure from Alexandria. Energies are from PBE.

Cell and atoms, written as POSCAR:
```
LiGaCu2
1.0
2.9537 0.0000 0.0000
0.0000 2.9537 0.0000
0.0000 0.0000 5.9757
Li Ga Cu
1 1 2
direct
0.0000 0.0000 0.0000
0.0000 0.0000 0.5000
0.5000 0.5000 0.2435
0.5000 0.5000 0.7565
```

N(E_F): 0.3012 states/eV per atom
symmetry: P4/mmm
theoretical density: 6.5 g cm⁻³
calculated formation energy: -0.089 eV per atom


# 5
Here is a geometry-optimized BeReCl2 structure from Alexandria. Energies are from PBE.

Cell and atoms, written as POSCAR:
```
BeReCl2
1.0
1.4601 -2.7374 0.0000
1.4601 2.7374 0.0000
0.0000 0.0000 9.2654
Be Re Cl
1 1 2
direct
0.0000 0.0000 0.0000
0.5000 0.5000 0.7774
0.0000 0.0000 0.5736
0.5000 0.5000 0.1498
```

energy above the lowest structure with this stoichiometry: 3.96 kcal/mol of atoms
N(E_F): 0.6951 states/eV per atom
symmetry: Cmm2
theoretical density: 6.0 g cm⁻³
formation energy from raw total energies: 6.9 kJ/mol of atoms


# 6
Here is a geometry-optimized CuPbW2 structure from Alexandria. Energies are from PBE.

Cell and atoms, written as POSCAR:
```
CuPbW2
1.0
1.4766 0.8525 9.3077
-1.4766 0.8525 9.3077
0.0000 -1.7050 9.3077
Cu Pb W
1 1 2
direct
0.0000 0.0000 0.0000
0.5000 0.5000 0.5000
0.2578 0.2578 0.2578
0.7422 0.7422 0.7422
```

N(E_F): 0.8555 states/eV per atom
symmetry: R-3m
theoretical density: 15.1 g cm⁻³
calculated formation energy: 0.977 eV per atom


# 7
Here is a geometry-optimized Cs2NaHSe structure from Alexandria. Energies are from PBE.

Cell and atoms, written as POSCAR:
```
Cs2NaHSe
1.0
5.8576 0.0000 0.0000
0.0000 5.8576 0.0000
0.0000 0.0000 4.8660
Cs Na H Se
2 1 1 1
direct
0.0000 0.5000 0.0000
0.5000 0.0000 0.0000
0.0000 0.0000 0.5000
0.0000 0.0000 0.0000
0.5000 0.5000 0.5000
```

symmetry: P4/mmm
theoretical density: 3.7 g cm⁻³
raw total energy: -2.522 eV per atom


# 8
Here is a geometry-optimized Cu4Pd12Pt3 structure from Alexandria. Energies are from PBE.

Cell and atoms, written as POSCAR:
```
Cu4Pd12Pt3
1.0
-4.6315 4.6315 4.6315
4.6315 -4.6315 4.6315
4.6315 4.6315 -4.6315
Cu Pd Pt
4 12 3
direct
0.0000 0.0000 0.5000
0.0000 0.5000 0.0000
0.5000 0.0000 0.0000
0.5000 0.5000 0.5000
0.1012 0.3531 0.7481
0.2519 0.6049 0.3531
0.2519 0.8988 0.6469
0.3531 0.2519 0.6049
0.3531 0.7481 0.1012
0.3951 0.6469 0.7481
0.6049 0.3531 0.2519
0.6469 0.2519 0.8988
0.6469 0.7481 0.3951
0.7481 0.1012 0.3531
0.7481 0.3951 0.6469
0.8988 0.6469 0.2519
0.0000 0.5000 0.5000
0.5000 0.0000 0.5000
0.5000 0.5000 0.0000
```

N(E_F): 1.6573 states/eV per atom
symmetry: Im-3
theoretical density: 8.8 g cm⁻³
calculated formation energy: 0.439 eV per atom


# 9
Here is a geometry-optimized Sb2IrRu structure from Alexandria. Energies are from PBE.

Cell and atoms, written as POSCAR:
```
Sb2IrRu
1.0
3.1558 -3.4269 0.0000
3.1558 3.4269 0.0000
0.0000 0.0000 3.3284
Sb Ir Ru
2 1 1
direct
0.0000 0.5000 0.0000
0.5000 0.0000 0.0000
0.0000 0.0000 0.5000
0.5000 0.5000 0.5000
```

energy above the lowest structure with this stoichiometry: 4.58 kcal/mol of atoms
N(E_F): 1.0122 states/eV per atom
symmetry: Cmmm
theoretical density: 12.4 g cm⁻³
formation energy from raw total energies: 21.9 kJ/mol of atoms


# 10
Here is a geometry-optimized Pr2Ge2BOs2 structure from Alexandria. Energies are from PBE.

Cell and atoms, written as POSCAR:
```
Pr2Ge2BOs2
1.0
5.6654 -2.1627 0.0000
5.6654 2.1627 0.0000
-4.5910 0.0000 5.6185
Pr Ge B Os
2 2 1 2
direct
0.0629 0.0629 0.3276
0.9371 0.9371 0.6724
0.3358 0.3358 0.8870
0.6642 0.6642 0.1130
0.5000 0.5000 0.5000
0.2936 0.2936 0.1865
0.7064 0.7064 0.8135
```

N(E_F): 0.4358 states/eV per atom
symmetry: C2/m
theoretical density: 9.9 g cm⁻³
calculated formation energy: -0.594 eV per atom


# 11
Here is a geometry-optimized AgTeSe structure from Alexandria. Energies are from PBE.

Cell and atoms, written as POSCAR:
```
AgTeSe
1.0
4.6554 -3.8404 0.0000
4.6554 3.8404 0.0000
-2.8601 0.0000 4.3055
Ag Te Se
2 2 2
direct
0.0000 0.0000 0.0000
0.5000 0.5000 0.5000
0.0000 0.5000 0.0000
0.5000 0.0000 0.0000
0.2495 0.2495 0.6014
0.7505 0.7505 0.3986
```

energy above the lowest structure with this stoichiometry: 0.25 kcal/mol of atoms
N(E_F): 0.6163 states/eV per atom
symmetry: C2/m
theoretical density: 6.8 g cm⁻³
formation energy from raw total energies: -1.2 kJ/mol of atoms


# 12
Here is a geometry-optimized ThCu6Au structure from Alexandria. Energies are from PBE.

Cell and atoms, written as POSCAR:
```
ThCu6Au
1.0
5.0304 0.0000 0.0000
0.0000 5.0304 0.0000
0.0000 0.0000 5.0304
Th Cu Au
1 6 1
direct
0.0000 0.0000 0.0000
0.0000 0.5000 0.2604
0.0000 0.5000 0.7396
0.2604 0.0000 0.5000
0.5000 0.2604 0.0000
0.5000 0.7396 0.0000
0.7396 0.0000 0.5000
0.5000 0.5000 0.5000
```

N(E_F): 0.3566 states/eV per atom
symmetry: Pm-3
theoretical density: 10.6 g cm⁻³
calculated formation energy: 0.124 eV per atom


# 13
Here is a geometry-optimized Cs3Nd2ZrTe6 structure from Alexandria. Energies are from PBE.

Cell and atoms, written as POSCAR:
```
Cs3Nd2ZrTe6
1.0
3.9242 -6.7981 0.0000
3.9242 6.7981 0.0000
-2.6238 0.0000 8.9729
Cs Nd Zr Te
3 2 1 6
direct
0.0000 0.0000 0.0000
0.3274 0.6726 0.0000
0.6726 0.3274 0.0000
0.1659 0.8341 0.5000
0.8341 0.1659 0.5000
0.5000 0.5000 0.5000
0.1221 0.4364 0.3085
0.2512 0.2512 0.6941
0.4364 0.1221 0.3085
0.5636 0.8779 0.6915
0.7488 0.7488 0.3059
0.8779 0.5636 0.6915
```

N(E_F): 0.4608 states/eV per atom
symmetry: C2/m
theoretical density: 5.4 g cm⁻³
formation energy from raw total energies: -118.8 kJ/mol of atoms


# 14
Here is a geometry-optimized NaZn11Ge structure from Alexandria. Energies are from PBE.

Cell and atoms, written as POSCAR:
```
NaZn11Ge
1.0
2.6970 -6.2975 0.0000
2.6970 6.2975 0.0000
-2.6733 0.0000 6.3609
Na Zn Ge
1 11 1
direct
0.0000 0.0000 0.0000
0.0000 0.0000 0.5000
0.0000 0.5000 0.0000
0.0298 0.6692 0.6477
0.2764 0.4964 0.7863
0.3308 0.9702 0.3523
0.4964 0.2764 0.7863
0.5000 0.0000 0.0000
0.5036 0.7236 0.2137
0.6692 0.0298 0.6477
0.7236 0.5036 0.2137
0.9702 0.3308 0.3523
0.5000 0.5000 0.5000
```

N(E_F): 0.2349 states/eV per atom
symmetry: C2/m
theoretical density: 6.3 g cm⁻³
calculated formation energy: 0.023 eV per atom


# 15
Here is a geometry-optimized PrInAgPt structure from Alexandria. Energies are from PBE.

Cell and atoms, written as POSCAR:
```
PrInAgPt
1.0
0.0000 3.5365 3.5365
3.5365 0.0000 3.5365
3.5365 3.5365 0.0000
Pr In Ag Pt
1 1 1 1
direct
0.0000 0.0000 0.0000
0.5000 0.5000 0.5000
0.2500 0.2500 0.2500
0.7500 0.7500 0.7500
```

N(E_F): 0.7336 states/eV per atom
symmetry: F-43m
theoretical density: 10.5 g cm⁻³
calculated formation energy: -0.567 eV per atom


# 16
Here is a geometry-optimized Eu2AgH structure from Alexandria. Energies are from PBE.

Cell and atoms, written as POSCAR:
```
Eu2AgH
1.0
1.9695 1.1371 7.3174
-1.9695 1.1371 7.3174
0.0000 -2.2742 7.3174
Eu Ag H
2 1 1
direct
0.2328 0.2328 0.2328
0.7672 0.7672 0.7672
0.0000 0.0000 0.0000
0.5000 0.5000 0.5000
```

energy above the lowest structure with this stoichiometry: 0.00 kcal/mol of atoms
N(E_F): 0.6214 states/eV per atom
symmetry: R-3m
theoretical density: 7.0 g cm⁻³


# 17
Here is a geometry-optimized LuScZnMo structure from Alexandria. Energies are from PBE.

Cell and atoms, written as POSCAR:
```
LuScZnMo
1.0
0.0000 3.3870 3.3870
3.3870 0.0000 3.3870
3.3870 3.3870 0.0000
Lu Sc Zn Mo
1 1 1 1
direct
0.0000 0.0000 0.0000
0.5000 0.5000 0.5000
0.7500 0.7500 0.7500
0.2500 0.2500 0.2500
```

N(E_F): 0.9101 states/eV per atom
symmetry: F-43m
theoretical density: 8.1 g cm⁻³
calculated formation energy: 0.027 eV per atom


# 18
Here is a geometry-optimized Sr2AgAs4Pt3 structure from Alexandria. Energies are from PBE.

Cell and atoms, written as POSCAR:
```
Sr2AgAs4Pt3
1.0
4.5032 0.0000 0.0000
0.0000 4.5032 0.0000
0.0000 0.0000 10.3268
Sr Ag As Pt
2 1 4 3
direct
0.0000 0.5000 0.2491
0.5000 0.0000 0.7509
0.0000 0.0000 0.5000
0.0000 0.0000 0.0000
0.0000 0.5000 0.6412
0.5000 0.0000 0.3588
0.5000 0.5000 0.0000
0.0000 0.5000 0.8832
0.5000 0.0000 0.1168
0.5000 0.5000 0.5000
```

N(E_F): 0.3937 states/eV per atom
symmetry: P-4m2
theoretical density: 9.3 g cm⁻³
calculated formation energy: -0.725 eV per atom


# 19
Here is a geometry-optimized NdDy3Cd structure from Alexandria. Energies are from PBE.

Cell and atoms, written as POSCAR:
```
NdDy3Cd
1.0
5.6769 -3.6350 0.0000
5.6769 3.6350 0.0000
-2.8346 0.0000 7.6169
Nd Dy Cd
2 6 2
direct
0.0588 0.0588 0.2360
0.9412 0.9412 0.7640
0.0919 0.5907 0.3647
0.4093 0.9081 0.6353
0.4388 0.4388 0.7575
0.5612 0.5612 0.2425
0.5907 0.0919 0.3647
0.9081 0.4093 0.6353
0.2585 0.2585 0.9997
0.7415 0.7415 0.0003
```

energy above the lowest structure with this stoichiometry: 1.70 kcal/mol of atoms
N(E_F): 1.1518 states/eV per atom
symmetry: C2/m
theoretical density: 7.9 g cm⁻³
calculated formation energy: -0.033 eV per atom


# 20
Here is a geometry-optimized BaNaCa2Au4 structure from Alexandria. Energies are from PBE.

Cell and atoms, written as POSCAR:
```
BaNaCa2Au4
1.0
2.5478 1.4710 9.6758
-2.5478 1.4710 9.6758
0.0000 -2.9420 9.6758
Ba Na Ca Au
1 1 2 4
direct
0.0000 0.0000 0.0000
0.5000 0.5000 0.5000
0.2315 0.2315 0.2315
0.7685 0.7685 0.7685
0.1226 0.1226 0.1226
0.3982 0.3982 0.3982
0.6018 0.6018 0.6018
0.8774 0.8774 0.8774
```

N(E_F): 0.5114 states/eV per atom
symmetry: R-3m
theoretical density: 7.8 g cm⁻³
calculated formation energy: -0.639 eV per atom


# 21
Here is a geometry-optimized Mn2AsIr structure from Alexandria. Energies are from PBE.

Cell and atoms, written as POSCAR:
```
Mn2AsIr
1.0
0.0000 2.9880 2.9880
2.9880 0.0000 2.9880
2.9880 2.9880 0.0000
Mn As Ir
2 1 1
direct
0.0000 0.0000 0.0000
0.2500 0.2500 0.2500
0.7500 0.7500 0.7500
0.5000 0.5000 0.5000
```

N(E_F): 0.8014 states/eV per atom
symmetry: F-43m
theoretical density: 11.7 g cm⁻³
calculated formation energy: 0.029 eV per atom


# 22
Here is a geometry-optimized ReSb3 structure from Alexandria. Energies are from PBE.

Cell and atoms, written as POSCAR:
```
ReSb3
1.0
3.1953 0.0000 0.0000
0.0000 3.2692 0.0000
-0.1130 0.0000 9.3721
Re Sb
1 3
direct
0.0000 0.0000 0.0000
0.4937 0.5000 0.8223
0.5000 0.0000 0.5000
0.5063 0.5000 0.1777
```

energy above the lowest structure with this stoichiometry: 0.00 kcal/mol of atoms
N(E_F): 0.6524 states/eV per atom
symmetry: P2/m
theoretical density: 9.4 g cm⁻³
formation energy from raw total energies: 29.5 kJ/mol of atoms


# 23
Here is a geometry-optimized RbGa2NO structure from Alexandria. Energies are from PBE.

Cell and atoms, written as POSCAR:
```
RbGa2NO
1.0
4.3575 0.0000 0.0000
0.0000 4.3575 0.0000
0.0000 0.0000 5.9711
Rb Ga N O
1 2 1 1
direct
0.0000 0.0000 0.0000
0.0000 0.5000 0.5000
0.5000 0.0000 0.5000
0.5000 0.5000 0.0000
0.0000 0.0000 0.5000
```

N(E_F): 0.5905 states/eV per atom
symmetry: P4/mmm
theoretical density: 3.7 g cm⁻³
formation energy from raw total energies: 46.8 kJ/mol of atoms


# 24
Here is a geometry-optimized V2ZnRh structure from Alexandria. Energies are from PBE.

Cell and atoms, written as POSCAR:
```
V2ZnRh
1.0
-3.4772 3.4772 2.5000
3.4772 -3.4772 2.5000
3.4772 3.4772 -2.5000
V Zn Rh
4 2 2
direct
0.0974 0.1250 0.4724
0.3750 0.9026 0.0276
0.6526 0.6250 0.5276
0.8750 0.3474 0.9724
0.2500 0.7500 0.5000
0.5000 0.5000 0.0000
0.0000 0.0000 0.0000
0.7500 0.2500 0.5000
```

N(E_F): 1.1778 states/eV per atom
symmetry: I-42d
theoretical density: 7.4 g cm⁻³
calculated formation energy: 0.269 eV per atom


# 25
Here is a geometry-optimized CaHfAsO2 structure from Alexandria. Energies are from PBE.

Cell and atoms, written as POSCAR:
```
CaHfAsO2
1.0
4.1333 0.0000 0.0000
0.0000 4.1333 0.0000
0.0000 0.0000 5.3545
Ca Hf As O
1 1 1 2
direct
0.0000 0.0000 0.0000
0.5000 0.5000 0.5000
0.0000 0.0000 0.5000
0.0000 0.5000 0.0000
0.5000 0.0000 0.0000
```

N(E_F): 1.0586 states/eV per atom
symmetry: P4/mmm
theoretical density: 5.9 g cm⁻³
formation energy from raw total energies: -48.8 kJ/mol of atoms